A relaxed structure of HfMoAu2. Source: Alexandria, functional GGA-PBE. Values from VASP.

Output
Energy of formation from the pure elements   0.3407 eV per atom
E above lowest polymorph   276 meV/atom
SG   I-42d (122)
V   19.29 Å³ per atom
Energy   -6.4941 eV/atom

```
&SYSTEM
  ibrav = 0, nat = 8, ntyp = 3
/
ATOMIC_SPECIES
Hf 178.49 Hf.upf
Mo 95.94 Mo.upf
Au 196.97 Au.upf
CELL_PARAMETERS angstrom
-1.955 1.955 10.094
1.955 -1.955 10.094
1.955 1.955 -10.094
ATOMIC_POSITIONS crystal
Hf 0.000 0.000 0.000
Hf 0.750 0.250 0.500
Mo 0.250 0.750 0.500
Mo 0.500 0.500 0.000
Au 0.129 0.625 0.004
Au 0.375 0.379 0.504
Au 0.621 0.125 0.996
Au 0.875 0.871 0.496
```



A relaxed structure of HfMo2Au. Source: Alexandria, functional GGA-PBE. Values from VASP.

Output
Energy of formation from the pure elements   0.6533 eV per atom
E above lowest polymorph   318 meV/atom
SG   I-42d (122)
V   19.13 Å³ per atom
Energy   -8.0700 eV/atom

```
&SYSTEM
  ibrav = 0, nat = 8, ntyp = 3
/
ATOMIC_SPECIES
Hf 178.49 Hf.upf
Mo 95.94 Mo.upf
Au 196.97 Au.upf
CELL_PARAMETERS angstrom
-3.773 3.773 2.687
3.773 -3.773 2.687
3.773 3.773 -2.687
ATOMIC_POSITIONS crystal
Hf 0.000 0.000 0.000
Hf 0.750 0.250 0.500
Mo 0.137 0.125 0.512
Mo 0.375 0.863 0.988
Mo 0.613 0.625 0.488
Mo 0.875 0.387 0.012
Au 0.250 0.750 0.500
Au 0.500 0.500 0.000
```



A relaxed structure of HfMoAu3. Source: Alexandria, functional GGA-PBE. Values from VASP.

Output
Energy of formation from the pure elements   1.1870 eV per atom
E above lowest polymorph   0 meV/atom
SG   Pm-3m (221)
V   24.13 Å³ per atom
Energy   -4.9364 eV/atom

```
&SYSTEM
  ibrav = 0, nat = 5, ntyp = 3
/
ATOMIC_SPECIES
Hf 178.49 Hf.upf
Mo 95.94 Mo.upf
Au 196.97 Au.upf
CELL_PARAMETERS angstrom
4.941 0.000 0.000
0.000 4.941 0.000
0.000 0.000 4.941
ATOMIC_POSITIONS crystal
Hf 0.000 0.000 0.000
Mo 0.500 0.500 0.500
Au 0.000 0.500 0.500
Au 0.500 0.000 0.500
Au 0.500 0.500 0.000
```



A relaxed structure of HfMo2Au. Source: Alexandria, functional GGA-PBE. Values from VASP.

Output
Energy of formation from the pure elements   0.3351 eV per atom
E above lowest polymorph   0 meV/atom
SG   Fm-3m (225)
V   17.45 Å³ per atom
Energy   -8.3881 eV/atom

```
&SYSTEM
  ibrav = 0, nat = 4, ntyp = 3
/
ATOMIC_SPECIES
Hf 178.49 Hf.upf
Mo 95.94 Mo.upf
Au 196.97 Au.upf
CELL_PARAMETERS angstrom
0.000 3.268 3.268
3.268 0.000 3.268
3.268 3.268 0.000
ATOMIC_POSITIONS crystal
Hf 0.000 0.000 0.000
Mo 0.250 0.250 0.250
Mo 0.750 0.750 0.750
Au 0.500 0.500 0.500
```



A relaxed structure of Hf4MoAu2. Source: Alexandria, functional GGA-PBE. Values from VASP.

Output
Energy of formation from the pure elements   0.4382 eV per atom
SG   I4/mmm (139)
V   23.66 Å³ per atom
Energy   -7.7332 eV/atom

```
&SYSTEM
  ibrav = 0, nat = 7, ntyp = 3
/
ATOMIC_SPECIES
Hf 178.49 Hf.upf
Mo 95.94 Mo.upf
Au 196.97 Au.upf
CELL_PARAMETERS angstrom
-2.450 2.450 6.899
2.450 -2.450 6.899
2.450 2.450 -6.899
ATOMIC_POSITIONS crystal
Hf 0.000 0.500 0.500
Hf 0.189 0.189 0.000
Hf 0.500 0.000 0.500
Hf 0.811 0.811 0.000
Mo 0.000 0.000 0.000
Au 0.385 0.385 0.000
Au 0.615 0.615 0.000
```



A relaxed structure of HfMoAu2. Source: Alexandria, functional GGA-PBE. Values from VASP.

Output
Energy of formation from the pure elements   0.0650 eV per atom
E above lowest polymorph   0 meV/atom
SG   Fm-3m (225)
V   18.34 Å³ per atom
Energy   -6.7698 eV/atom

```
&SYSTEM
  ibrav = 0, nat = 4, ntyp = 3
/
ATOMIC_SPECIES
Hf 178.49 Hf.upf
Mo 95.94 Mo.upf
Au 196.97 Au.upf
CELL_PARAMETERS angstrom
0.000 3.323 3.323
3.323 0.000 3.323
3.323 3.323 0.000
ATOMIC_POSITIONS crystal
Hf 0.000 0.000 0.000
Mo 0.500 0.500 0.500
Au 0.250 0.250 0.250
Au 0.750 0.750 0.750
```



A relaxed structure of HfMo3Au. Source: Alexandria, functional GGA-PBE. Values from VASP.

Output
Energy of formation from the pure elements   1.9427 eV per atom
SG   Pm-3m (221)
V   21.49 Å³ per atom
Energy   -7.2022 eV/atom

```
&SYSTEM
  ibrav = 0, nat = 5, ntyp = 3
/
ATOMIC_SPECIES
Hf 178.49 Hf.upf
Mo 95.94 Mo.upf
Au 196.97 Au.upf
CELL_PARAMETERS angstrom
4.754 0.000 0.000
0.000 4.754 0.000
0.000 0.000 4.754
ATOMIC_POSITIONS crystal
Hf 0.000 0.000 0.000
Mo 0.000 0.000 0.500
Mo 0.000 0.500 0.000
Mo 0.500 0.000 0.000
Au 0.500 0.500 0.500
```



A relaxed structure of HfNbMoAu. Source: Alexandria, functional GGA-PBE. Values from VASP.

Output
Energy of formation from the pure elements   -0.1131 eV per atom
SG   F-43m (216)
V   18.15 Å³ per atom
Energy   -8.6460 eV/atom

```
&SYSTEM
  ibrav = 0, nat = 4, ntyp = 4
/
ATOMIC_SPECIES
Hf 178.49 Hf.upf
Nb 92.91 Nb.upf
Mo 95.94 Mo.upf
Au 196.97 Au.upf
CELL_PARAMETERS angstrom
0.000 3.311 3.311
3.311 0.000 3.311
3.311 3.311 0.000
ATOMIC_POSITIONS crystal
Hf 0.000 0.000 0.000
Nb 0.500 0.500 0.500
Mo 0.250 0.250 0.250
Au 0.750 0.750 0.750
```



- Which value of energy does entry 2 give?
  -8.0700 eV/atom